VASP calculation (PBE-GGA) on crystalline CuAg2Os at its relaxed geometry.

Summary:
As for the total moment: 0.0 Bohr magnetons per cell. Its polymorph energy (0 for the lowest one) is 184 meV per atom.

Cell: 4.279 2.636 5.700 Å, 76.45 90.00 90.00°
Fractional positions:
Ag 0.000 0.059 0.000
Ag 0.500 0.433 0.249
Cu 0.000 0.301 0.536
Os 0.500 0.706 0.715